# 1
Entry from the Alexandria database: crystalline SiAs2Pb at its relaxed geometry (GGA-PBE).

The formation energy without anion corrections is 260 meV/atom. The value obtained for the mass density is 6.875 g/cm³. The value obtained for the uncorrected energy is -4.35 eV/atom. The polymorph energy (0 for the lowest one) comes out at 228 meV per atom.

Cell: 10.3292 3.5486 5.6122 Å, 90.00 115.27 90.00°
Last column: nearest neighbours and their distance in Å.
Space group C2/m (No. 12)
Unique sites:
Si1 0.0000 0.0000 0.0000 x2  4 As 2.51
As1 0.1901 0.5000 0.1268 x4  2 Si 2.51
Pb1 0.0000 0.5000 0.5000 x2  8 As 3.21-3.47, 4 Si 3.32, 2 Pb 3.55

=====

# 2
Entry from the Alexandria database: crystalline SiAsPb3 at its relaxed geometry (GGA-PBE).

The formation energy without anion corrections is 587 meV/atom. The value obtained for the mass density is 7.719 g/cm³. The value obtained for the uncorrected energy is -3.65 eV/atom.

Cell: 5.3819 5.3819 5.3819 Å, 90.00 90.00 90.00°
Last column: nearest neighbours and their distance in Å.
Space group Pm-3m (No. 221)
Unique sites:
Si1 0.0000 0.0000 0.0000 x1  6 Pb 2.69
As1 0.5000 0.5000 0.5000 x1  12 Pb 3.81
Pb1 0.0000 0.0000 0.5000 x3  2 Si 2.69

=====

# 3
Entry from the Alexandria database: crystalline Si2AsPb at its relaxed geometry (GGA-PBE).

The formation energy without anion corrections is 423 meV/atom. The value obtained for the mass density is 6.575 g/cm³. The value obtained for the uncorrected energy is -4.38 eV/atom. The polymorph energy (0 for the lowest one) comes out at 175 meV per atom.

Cell: 3.6428 3.6428 6.4380 Å, 90.00 90.00 90.00°
Last column: nearest neighbours and their distance in Å.
Space group P4/mmm (No. 123)
Unique sites:
Si1 0.0000 0.0000 0.1830 x2  1 Si 2.36
As1 0.5000 0.5000 0.0000 x1  8 Si 2.83
Pb1 0.5000 0.5000 0.5000 x1  2 As 3.22, 8 Si 3.29

=====

# 4
Entry from the Alexandria database: crystalline SiAsPb2 at its relaxed geometry (GGA-PBE).

The formation energy without anion corrections is 396 meV/atom. The value obtained for the mass density is 8.690 g/cm³. The value obtained for the uncorrected energy is -3.98 eV/atom. The polymorph energy (0 for the lowest one) comes out at 299 meV per atom.

Cell: 7.3403 7.3403 7.3403 Å, 90.00 90.00 90.00°
Last column: nearest neighbours and their distance in Å.
Space group Fm-3m (No. 225)
Unique sites:
Si1 0.0000 0.0000 0.0000 x4  8 Pb 3.18
As1 0.0000 0.0000 0.5000 x4  8 Pb 3.18
Pb1 0.2500 0.2500 0.2500 x8  4 Si 3.18, 4 As 3.18

=====

# 5
Entry from the Alexandria database: crystalline SiAs2Pb at its relaxed geometry (GGA-PBE).

The formation energy without anion corrections is 32 meV/atom. The value obtained for the mass density is 6.240 g/cm³. The value obtained for the uncorrected energy is -4.58 eV/atom. The polymorph energy (0 for the lowest one) comes out at 0 meV per atom.

Cell: 6.9996 6.9996 8.3671 Å, 90.00 90.00 90.00°
Last column: nearest neighbours and their distance in Å.
Space group I-42d (No. 122)
Unique sites:
Si1 0.0000 0.0000 0.0000 x4  4 As 2.37
As1 0.1737 0.2500 0.1250 x8  2 Si 2.37
Pb1 0.0000 0.0000 0.5000 x4  4 As 3.06

=====

# 6
Entry from the Alexandria database: crystalline SiAsPb at its relaxed geometry (GGA-PBE).

The formation energy without anion corrections is 727 meV/atom. The value obtained for the mass density is 6.314 g/cm³. The value obtained for the uncorrected energy is -3.87 eV/atom. The polymorph energy (0 for the lowest one) comes out at 600 meV per atom.

Cell: 6.8846 6.8846 6.8846 Å, 90.00 90.00 90.00°
Last column: nearest neighbours and their distance in Å.
Space group F-43m (No. 216)
Unique sites:
Si1 0.0000 0.0000 0.0000 x4  4 Pb 2.98
As1 0.0000 0.0000 0.5000 x4  4 Pb 2.98
Pb1 0.2500 0.2500 0.2500 x4  4 As 2.98, 4 Si 2.98

=====

# 7
Entry from the Alexandria database: crystalline SiAsPb2 at its relaxed geometry (GGA-PBE).

The formation energy without anion corrections is 321 meV/atom. The value obtained for the mass density is 8.261 g/cm³. The value obtained for the uncorrected energy is -4.05 eV/atom. The polymorph energy (0 for the lowest one) comes out at 223 meV per atom.

Cell: 4.1673 4.1673 20.7466 Å, 90.00 90.00 120.00°
Last column: nearest neighbours and their distance in Å.
Space group R-3m (No. 166, hexagonal axes)
Unique sites:
Si1 0.0000 0.0000 0.0000 x3  6 Pb 2.94
As1 0.0000 0.0000 0.5000 x3  6 Pb 2.99
Pb1 0.0000 0.0000 0.2522 x6  3 Si 2.94, 3 As 2.99

=====

# 8
Entry from the Alexandria database: crystalline SiAs2Pb at its relaxed geometry (GGA-PBE).

The formation energy without anion corrections is 193 meV/atom. The value obtained for the mass density is 6.649 g/cm³. The value obtained for the uncorrected energy is -4.41 eV/atom. The polymorph energy (0 for the lowest one) comes out at 161 meV per atom.

Cell: 3.8473 3.8473 6.4987 Å, 90.00 90.00 90.00°
Last column: nearest neighbours and their distance in Å.
Space group P4mm (No. 99)
Unique sites:
Si1 0.0000 0.0000 0.0000 x1  1 As 2.40
As1 0.0000 0.0000 0.3698 x1  1 Si 2.40
As2 0.5000 0.5000 0.9518 x1  4 Si 2.74, 1 Pb 2.84
Pb1 0.5000 0.5000 0.5144 x1  5 As 2.84-2.88

=====

# 9
Entry from the Alexandria database: crystalline Si2AsPb at its relaxed geometry (GGA-PBE).

The formation energy without anion corrections is 595 meV/atom. The value obtained for the mass density is 6.793 g/cm³. The value obtained for the uncorrected energy is -4.21 eV/atom. The polymorph energy (0 for the lowest one) comes out at 346 meV per atom.

Cell: 6.9158 6.9158 6.9158 Å, 90.00 90.00 90.00°
Last column: nearest neighbours and their distance in Å.
Space group F-43m (No. 216)
Unique sites:
Si1 0.0000 0.0000 0.0000 x4  4 Si 2.99, 4 Pb 2.99
Si2 0.2500 0.2500 0.2500 x4  4 As 2.99, 4 Si 2.99
As1 0.0000 0.0000 0.5000 x4  4 Pb 2.99, 4 Si 2.99
Pb1 0.2500 0.2500 0.7500 x4  4 As 2.99, 4 Si 2.99

=====

# 10
Entry from the Alexandria database: crystalline SiAs2Pb at its relaxed geometry (GGA-PBE).

The formation energy without anion corrections is 161 meV/atom. The value obtained for the mass density is 6.956 g/cm³. The value obtained for the uncorrected energy is -4.45 eV/atom. The polymorph energy (0 for the lowest one) comes out at 129 meV per atom.

Cell: 4.8417 3.7424 5.4262 Å, 90.00 110.75 90.00°
Last column: nearest neighbours and their distance in Å.
Space group P2/m (No. 10)
Unique sites:
Si1 0.0000 0.0000 0.0000 x1  4 As 2.58
As1 0.2501 0.5000 0.8268 x2  1 As 2.48, 2 Si 2.58
Pb1 0.5000 0.0000 0.5000 x1  2 Si 2.93, 4 As 3.10

=====

# 11
Entry from the Alexandria database: crystalline SiAsPb2 at its relaxed geometry (GGA-PBE).

The formation energy without anion corrections is 380 meV/atom. The value obtained for the mass density is 8.660 g/cm³. The value obtained for the uncorrected energy is -3.99 eV/atom. The polymorph energy (0 for the lowest one) comes out at 282 meV per atom.

Cell: 3.8467 3.8467 6.7045 Å, 90.00 90.00 90.00°
Last column: nearest neighbours and their distance in Å.
Space group P4/mmm (No. 123)
Unique sites:
Si1 0.0000 0.0000 0.0000 x1  8 Pb 3.19, 2 As 3.35
As1 0.0000 0.0000 0.5000 x1  8 Pb 3.20, 2 Si 3.35
Pb1 0.5000 0.5000 0.2494 x2  4 Si 3.19, 4 As 3.20, 2 Pb 3.34-3.36

=====

# 12
Entry from the Alexandria database: crystalline SiAsPb2 at its relaxed geometry (GGA-PBE).

The formation energy without anion corrections is 410 meV/atom. The value obtained for the mass density is 8.522 g/cm³. The value obtained for the uncorrected energy is -3.96 eV/atom. The polymorph energy (0 for the lowest one) comes out at 312 meV per atom.

Cell: 4.3799 4.3799 10.5104 Å, 90.00 90.00 90.00°
Last column: nearest neighbours and their distance in Å.
Space group I-4m2 (No. 119)
Unique sites:
Si1 0.0000 0.0000 0.0000 x2  8 Pb 3.10-3.42, 4 As 3.42
As1 0.0000 0.5000 0.7500 x2  8 Pb 3.10-3.42, 4 Si 3.42
Pb1 0.0000 0.0000 0.5000 x2  4 Si 3.10, 4 As 3.42, 4 Pb 3.42
Pb2 0.0000 0.5000 0.2500 x2  4 As 3.10, 4 Pb 3.42, 4 Si 3.42